Sm7HoMg2 PBE relaxed; space-group type = Cmmm, No. 65; E_tot = -35.4 eV for the cell shown; ΔE_f = 5.41 eV/f.u.; total magnetic moment = 0.00 μB/f.u.
1.0
-5.289 0.261 0.296
0.168 -5.352 7.720
0.469 9.384 0.092
Sm Mg Ho
7 2 1
Direct
0.500 0.500 0.500
0.500 0.703 0.930
0.000 0.211 0.789
0.500 0.297 0.070
0.500 0.930 0.703
0.000 0.789 0.211
0.500 0.070 0.297
0.500 0.702 0.298
0.500 0.298 0.702
0.000 0.000 0.000


Sm8HoMg2 PBE relaxed; space-group type = C2/m, No. 12; E_tot = -44.2 eV for the cell shown; ΔE_f = 1.33 eV/f.u.; total magnetic moment = 0.00 μB/f.u.
1.0
5.720 -0.407 -0.610
-1.523 8.877 -0.891
-1.523 -4.241 7.849
Sm Mg Ho
8 2 1
Direct
0.862 0.903 0.677
0.138 0.323 0.097
0.138 0.097 0.323
0.705 0.409 0.409
0.500 0.790 0.210
0.500 0.210 0.790
0.295 0.591 0.591
0.862 0.677 0.903
0.000 0.307 0.693
0.000 0.693 0.307
0.500 0.000 0.000


Sm12Ho6Mg PBE relaxed; space-group type = R-3m, No. 166; E_tot = -83.1 eV for the cell shown; ΔE_f = 2.55 eV/f.u.; total magnetic moment = 0.00 μB/f.u.
1.0
-1.990 7.652 -3.577
3.276 -3.729 -7.118
-7.918 -3.523 -0.450
Sm Ho Mg
12 6 1
Direct
0.739 0.000 0.261
0.000 0.261 0.739
0.582 0.169 0.582
0.831 0.418 0.418
0.261 0.739 0.000
0.739 0.261 0.000
0.418 0.831 0.418
0.000 0.739 0.261
0.261 0.000 0.739
0.418 0.418 0.831
0.169 0.582 0.582
0.582 0.582 0.169
0.863 0.593 0.864
0.407 0.136 0.137
0.593 0.864 0.863
0.136 0.137 0.407
0.137 0.407 0.136
0.864 0.863 0.593
0.000 0.000 0.000


Sm2HoMg6 PBE relaxed; space-group type = P6/mmm, No. 191; E_tot = -24.3 eV for the cell shown; ΔE_f = -0.75 eV/f.u.; total magnetic moment = 0.00 μB/f.u.
1.0
4.562 -7.902 0.000
4.562 7.902 0.000
0.000 0.000 3.305
Sm Mg Ho
2 6 1
Direct
0.333 0.667 0.000
0.667 0.333 0.000
0.670 0.670 0.500
0.330 0.000 0.500
0.000 0.330 0.500
0.670 0.000 0.500
0.000 0.670 0.500
0.330 0.330 0.500
0.000 0.000 0.000